DFT (GGA-PBEsol) results for Ta2NbRe after structural relaxation.

Values from the calculation:
Formation enthalpy at 0 K, meV per atom: -251
Electronic total energy, eV per atom: -12.565
Space group: Fm-3m, No. 225
Magnetic moment, μB/f.u.: 0.0
Volume, Å³ per cell: 66

a b c (Å): 4.5421 4.5421 4.5421
angles (deg): 60.00 60.00 60.00
Element x y z (fractional)
Ta1 0.7500 0.7500 0.7500
Ta2 0.2500 0.2500 0.2500
Re1 0.0000 0.0000 0.0000
Nb1 0.5000 0.5000 0.5000

---

DFT (GGA-PBEsol) results for LiAgF2 after structural relaxation.

Values from the calculation:
Electronic total energy, eV per atom: -4.160
Space group: I-42d, No. 122
Magnetic moment, μB/f.u.: 0.0
Uncorrected formation energy, eV/atom: -1.88
Energy above the lowest structure with this stoichiometry, meV per atom: 73.3
Volume, Å³ per cell: 99

a b c (Å): 5.3167 5.1471 5.3167
angles (deg): 121.10 90.00 121.10
Element x y z (fractional)
F1 0.6250 0.7500 0.1986
F2 0.8014 0.2500 0.8750
F3 0.1250 0.7500 0.5514
F4 0.4486 0.2500 0.3750
Li1 0.5000 0.0000 0.5000
Li2 0.7500 0.5000 0.2500
Ag1 0.0000 0.0000 0.0000
Ag2 0.2500 0.5000 0.7500

---

DFT (GGA-PBEsol) results for Sr2Hg after structural relaxation.

Values from the calculation:
Formation enthalpy at 0 K, meV per atom: -295
Electronic total energy, eV per atom: -1.711
Space group: P-3m1, No. 164
Magnetic moment, μB/f.u.: 0.0
Volume, Å³ per cell: 128

a b c (Å): 4.4726 4.4726 7.3880
angles (deg): 90.00 90.00 120.00
Element x y z (fractional)
Hg1 0.0000 0.0000 0.0000
Sr1 0.6667 0.3333 0.7391
Sr2 0.3333 0.6667 0.2609

---

DFT (GGA-PBEsol) results for Li5Cr after structural relaxation.

Values from the calculation:
Formation enthalpy at 0 K, meV per atom: 472
Electronic total energy, eV per atom: -2.874
Space group: P6/mmm, No. 191
Magnetic moment, μB/f.u.: 4.5
Volume, Å³ per cell: 114

a b c (Å): 4.7490 5.2652 5.2652
angles (deg): 120.00 90.00 90.00
Element x y z (fractional)
Li1 0.5000 0.5000 0.5000
Li2 0.5000 0.5000 0.0000
Li3 0.0000 0.6667 0.3333
Li4 0.5000 0.0000 0.5000
Li5 0.0000 0.3333 0.6667
Cr1 0.0000 0.0000 0.0000

---

DFT (GGA-PBEsol) results for SnHBr2 after structural relaxation.

Values from the calculation:
Electronic total energy, eV per atom: -2.691
Space group: I-42d, No. 122
Magnetic moment, μB/f.u.: 0.9
Volume, Å³ per cell: 183

a b c (Å): 6.1949 6.1949 6.1949
angles (deg): 110.53 108.94 108.94
Element x y z (fractional)
H1 0.5000 0.2500 0.7500
H2 0.0000 0.5000 0.5000
Br1 0.0446 0.1696 0.6250
Br2 0.5446 0.3750 0.4196
Br3 0.9554 0.5804 0.1250
Br4 0.4554 0.8750 0.8304
Sn1 0.0000 0.0000 0.0000
Sn2 0.5000 0.7500 0.2500

---

DFT (GGA-PBEsol) results for InCoAu4 after structural relaxation.

Values from the calculation:
Formation enthalpy at 0 K, meV per atom: 342
Electronic total energy, eV per atom: -4.061
Space group: F-43m, No. 216
Magnetic moment, μB/f.u.: 1.8
Volume, Å³ per cell: 110

a b c (Å): 5.3719 5.3719 5.3719
angles (deg): 60.00 60.00 60.00
Element x y z (fractional)
Au1 0.3753 0.3753 0.8740
Au2 0.3753 0.8740 0.3753
Au3 0.3753 0.3753 0.3753
Au4 0.8740 0.3753 0.3753
In1 0.0000 0.0000 0.0000
Co1 0.7500 0.7500 0.7500

---

DFT (GGA-PBEsol) results for TiSbBr2 after structural relaxation.

Values from the calculation:
Electronic total energy, eV per atom: -4.488
Space group: I-42d, No. 122
Magnetic moment, μB/f.u.: 0.1
Uncorrected formation energy, eV/atom: -0.33
Volume, Å³ per cell: 217

a b c (Å): 5.3468 6.9152 6.9152
angles (deg): 81.40 67.26 67.26
Element x y z (fractional)
Br1 0.4910 0.1340 0.6340
Br2 0.3750 0.3660 0.1340
Br3 0.8750 0.6340 0.8660
Br4 0.2590 0.8660 0.3660
Ti1 0.5000 0.0000 0.0000
Ti2 0.2500 0.5000 0.5000
Sb1 0.7500 0.5000 0.5000
Sb2 0.0000 0.0000 0.0000

---

DFT (GGA-PBEsol) results for BeFeSe2S after structural relaxation.

Values from the calculation:
Electronic total energy, eV per atom: -4.294
Space group: P4/mmm, No. 123
Magnetic moment, μB/f.u.: 3.5
Uncorrected formation energy, eV/atom: 0.72
Volume, Å³ per cell: 92

a b c (Å): 3.7415 4.9693 4.9693
angles (deg): 90.00 90.00 90.00
Element x y z (fractional)
Se1 0.0000 0.5000 0.0000
Se2 0.0000 0.0000 0.5000
S1 0.0000 0.0000 0.0000
Be1 0.5000 0.0000 0.0000
Fe1 0.5000 0.5000 0.5000

---

DFT (GGA-PBEsol) results for SrIn3Au3 after structural relaxation.

Values from the calculation:
Formation enthalpy at 0 K, meV per atom: -494
Electronic total energy, eV per atom: -3.717
Space group: Pmmn, No. 59
Magnetic moment, μB/f.u.: 0.0
Volume, Å³ per cell: 319

a b c (Å): 4.5224 7.7551 9.0829
angles (deg): 90.00 90.00 90.00
Element x y z (fractional)
In1 0.5000 0.1974 0.1157
In2 0.0000 0.6974 0.8843
In3 0.5000 0.5000 0.6327
In4 0.5000 0.8026 0.1157
In5 0.0000 0.0000 0.3673
In6 0.0000 0.3026 0.8843
Au1 0.0000 0.7258 0.5878
Au2 0.0000 0.0000 0.0462
Au3 0.5000 0.5000 0.9538
Au4 0.0000 0.2742 0.5878
Au5 0.5000 0.7742 0.4122
Au6 0.5000 0.2258 0.4122
Sr1 0.5000 0.0000 0.7282
Sr2 0.0000 0.5000 0.2718

---

DFT (GGA-PBEsol) results for KBAu3 after structural relaxation.

Values from the calculation:
Formation enthalpy at 0 K, meV per atom: 86
Electronic total energy, eV per atom: -3.899
Space group: Pm-3m, No. 221
Magnetic moment, μB/f.u.: 0.0
Volume, Å³ per cell: 91

a b c (Å): 4.4960 4.4960 4.4960
angles (deg): 90.00 90.00 90.00
Element x y z (fractional)
Au1 0.0000 0.5000 0.0000
Au2 0.5000 0.0000 0.0000
Au3 0.0000 0.0000 0.5000
K1 0.5000 0.5000 0.5000
B1 0.0000 0.0000 0.0000

---

DFT (GGA-PBEsol) results for Ca2ZnSi after structural relaxation.

Values from the calculation:
Electronic total energy, eV per atom: -3.290
Space group: Amm2, No. 38
Magnetic moment, μB/f.u.: 0.0
Uncorrected formation energy, eV/atom: -0.39
Energy above the lowest structure with this stoichiometry, meV per atom: 0.0
Volume, Å³ per cell: 98

a b c (Å): 4.1565 4.3589 5.8206
angles (deg): 111.99 90.00 90.00
Element x y z (fractional)
Si1 0.0000 0.8141 0.6282
Ca1 0.0000 0.1065 0.2131
Ca2 0.5000 0.3903 0.7806
Zn1 0.5000 0.6921 0.3843

---

DFT (GGA-PBEsol) results for SrSbF5 after structural relaxation.

Values from the calculation:
Electronic total energy, eV per atom: -5.365
Space group: Pbcm, No. 57
Magnetic moment, μB/f.u.: 0.0
Uncorrected formation energy, eV/atom: -3.07
Volume, Å³ per cell: 428

a b c (Å): 4.3722 8.7482 11.1945
angles (deg): 90.00 90.00 90.00
Element x y z (fractional)
F1 0.5233 0.7050 0.3886
F2 0.4767 0.2050 0.3886
F3 0.4767 0.2950 0.6114
F4 0.9144 0.5116 0.8872
F5 0.0703 0.7831 0.7500
F6 0.4767 0.2050 0.1114
F7 0.0856 0.4884 0.1128
F8 0.9144 0.9884 0.3872
F9 0.9297 0.2831 0.7500
F10 0.9297 0.2169 0.2500
F11 0.5233 0.7950 0.8886
F12 0.4767 0.2950 0.8886
F13 0.0703 0.7169 0.2500
F14 0.5233 0.7050 0.1114
F15 0.5233 0.7950 0.6114
F16 0.0856 0.0116 0.6128
F17 0.0856 0.4884 0.3872
F18 0.9144 0.9884 0.1128
F19 0.0856 0.0116 0.8872
F20 0.9144 0.5116 0.6128
Sb1 0.6095 0.4449 0.7500
Sb2 0.3905 0.9449 0.7500
Sb3 0.6095 0.0551 0.2500
Sb4 0.3905 0.5551 0.2500
Sr1 0.9888 0.2500 0.5000
Sr2 0.0112 0.7500 0.0000
Sr3 0.9888 0.2500 0.0000
Sr4 0.0112 0.7500 0.5000

---

DFT (GGA-PBEsol) results for Ho2Ga9Ir3 after structural relaxation.

Values from the calculation:
Formation enthalpy at 0 K, meV per atom: -715
Electronic total energy, eV per atom: -5.674
Space group: Cmcm, No. 63
Magnetic moment, μB/f.u.: 0.0
Volume, Å³ per cell: 452

a b c (Å): 7.4602 7.4602 9.3558
angles (deg): 90.00 90.00 119.80
Element x y z (fractional)
Ga1 0.6677 0.6677 0.9329
Ga2 0.9998 0.3347 0.5807
Ga3 0.6609 0.4535 0.2500
Ga4 0.3347 0.9998 0.9193
Ga5 0.6653 0.0002 0.0807
Ga6 0.6653 0.0002 0.4193
Ga7 0.4535 0.6609 0.2500
Ga8 0.1298 0.1298 0.7500
Ga9 0.3391 0.5465 0.7500
Ga10 0.0002 0.6653 0.4193
Ga11 0.0002 0.6653 0.0807
Ga12 0.3323 0.3323 0.4329
Ga13 0.9998 0.3347 0.9193
Ga14 0.6677 0.6677 0.5671
Ga15 0.3347 0.9998 0.5807
Ga16 0.3323 0.3323 0.0671
Ga17 0.5465 0.3391 0.7500
Ga18 0.8702 0.8702 0.2500
Ir1 0.6716 0.3284 0.0000
Ir2 0.3284 0.6716 0.5000
Ir3 0.0000 0.0000 0.0000
Ir4 0.0000 0.0000 0.5000
Ir5 0.3284 0.6716 0.0000
Ir6 0.6716 0.3284 0.5000
Ho1 0.0025 0.3302 0.2500
Ho2 0.6698 0.9975 0.7500
Ho3 0.3302 0.0025 0.2500
Ho4 0.9975 0.6698 0.7500

---

DFT (GGA-PBEsol) results for Dy5S7 after structural relaxation.

Values from the calculation:
Electronic total energy, eV per atom: -6.764
Space group: C2/m, No. 12
Magnetic moment, μB/f.u.: 0.0
Uncorrected formation energy, eV/atom: -2.13
Volume, Å³ per cell: 263

a b c (Å): 3.7581 6.6082 11.4360
angles (deg): 104.08 90.00 106.52
Element x y z (fractional)
S1 0.6599 0.3197 0.0507
S2 0.2594 0.5187 0.6489
S3 0.5000 0.0000 0.5000
S4 0.0410 0.0820 0.7845
S5 0.9590 0.9180 0.2155
S6 0.3401 0.6803 0.9493
S7 0.7406 0.4813 0.3511
Dy1 0.1124 0.2248 0.4215
Dy2 0.3003 0.6005 0.1888
Dy3 0.6997 0.3995 0.8112
Dy4 0.8876 0.7752 0.5785
Dy5 0.0000 0.0000 0.0000

---

DFT (GGA-PBEsol) results for Ta2CrNO5 after structural relaxation.

Values from the calculation:
Electronic total energy, eV per atom: -10.055
Space group: Pc, No. 7
Magnetic moment, μB/f.u.: 3.0
Uncorrected formation energy, eV/atom: -2.26
Energy above the lowest structure with this stoichiometry, meV per atom: 4.7
Volume, Å³ per cell: 200

a b c (Å): 4.7036 4.7098 9.0473
angles (deg): 90.00 89.79 90.00
Element x y z (fractional)
Cr1 0.5015 0.2503 0.4972
Cr2 0.0015 0.7497 0.9972
O1 0.3035 0.4454 0.3319
O2 0.3052 0.4509 0.6654
O3 0.1993 0.9426 0.4985
O4 0.6993 0.0574 0.9985
O5 0.8035 0.5546 0.8319
O6 0.1995 0.9414 0.1642
O7 0.8034 0.5483 0.4970
O8 0.6995 0.0586 0.6642
O9 0.3034 0.4517 0.9970
O10 0.8052 0.5491 0.1654
Ta1 0.9839 0.7552 0.3331
Ta2 0.0057 0.7608 0.6764
Ta3 0.5057 0.2392 0.1764
Ta4 0.4839 0.2448 0.8331
N1 0.6979 0.0527 0.3362
N2 0.1979 0.9473 0.8362

---

DFT (GGA-PBEsol) results for LiTl2Cd after structural relaxation.

Values from the calculation:
Formation enthalpy at 0 K, meV per atom: -88
Electronic total energy, eV per atom: -2.194
Space group: Cm, No. 8
Magnetic moment, μB/f.u.: 0.0
Volume, Å³ per cell: 93

a b c (Å): 3.3839 5.2880 5.8487
angles (deg): 110.97 106.82 90.00
Element x y z (fractional)
Li1 0.2398 0.7985 0.4795
Tl1 0.7567 0.2901 0.5133
Tl2 0.9792 0.9360 0.9584
Cd1 0.5244 0.4754 0.0488

---

DFT (GGA-PBEsol) results for MoRu2 after structural relaxation.

Values from the calculation:
Formation enthalpy at 0 K, meV per atom: 31
Electronic total energy, eV per atom: -10.673
Space group: I4_1/amd, No. 141
Magnetic moment, μB/f.u.: 0.0
Volume, Å³ per cell: 168

a b c (Å): 3.8020 3.8020 11.9204
angles (deg): 99.18 99.18 90.00
Element x y z (fractional)
Mo1 0.3297 0.8297 0.6594
Mo2 0.0797 0.0797 0.1594
Mo3 0.9203 0.9203 0.8406
Mo4 0.1703 0.6703 0.3406
Ru1 0.0009 0.5009 0.0018
Ru2 0.7509 0.7509 0.5018
Ru3 0.4991 0.9991 0.9982
Ru4 0.8324 0.3324 0.6648
Ru5 0.6676 0.1676 0.3352
Ru6 0.5824 0.5824 0.1648
Ru7 0.2491 0.2491 0.4982
Ru8 0.4176 0.4176 0.8352

---

DFT (GGA-PBEsol) results for BeCuTc after structural relaxation.

Values from the calculation:
Formation enthalpy at 0 K, meV per atom: 194
Electronic total energy, eV per atom: -6.340
Space group: P-6m2, No. 187
Magnetic moment, μB/f.u.: 0.0
Volume, Å³ per cell: 34

a b c (Å): 2.4493 4.0079 4.0079
angles (deg): 120.00 90.00 90.00
Element x y z (fractional)
Cu1 0.8326 0.3333 0.6667
Tc1 0.3328 0.6667 0.3333
Be1 0.8346 0.0000 0.0000

---

DFT (GGA-PBEsol) results for TcAs2P after structural relaxation.

Values from the calculation:
Formation enthalpy at 0 K, meV per atom: 430
Electronic total energy, eV per atom: -6.388
Space group: Pmmm, No. 47
Magnetic moment, μB/f.u.: 0.0
Volume, Å³ per cell: 61

a b c (Å): 3.1266 4.1694 4.6808
angles (deg): 90.00 90.00 90.00
Element x y z (fractional)
As1 0.0000 0.0000 0.0000
As2 0.5000 0.5000 0.0000
P1 0.5000 0.0000 0.5000
Tc1 0.0000 0.5000 0.5000

---

DFT (GGA-PBEsol) results for TeWAu2 after structural relaxation.

Values from the calculation:
Electronic total energy, eV per atom: -5.681
Space group: Cmmm, No. 65
Magnetic moment, μB/f.u.: 0.0
Uncorrected formation energy, eV/atom: 0.61
Volume, Å³ per cell: 73

a b c (Å): 2.8655 5.3023 5.3023
angles (deg): 115.57 90.00 90.00
Element x y z (fractional)
Au1 0.0000 0.5000 0.0000
Au2 0.0000 0.0000 0.5000
W1 0.5000 0.5000 0.5000
Te1 0.5000 0.0000 0.0000

---

DFT (GGA-PBEsol) results for Cs2IrRuO after structural relaxation.

Values from the calculation:
Electronic total energy, eV per atom: -4.690
Space group: P4/mmm, No. 123
Magnetic moment, μB/f.u.: 2.2
Uncorrected formation energy, eV/atom: 0.74
Volume, Å³ per cell: 139

a b c (Å): 3.6268 6.2011 6.2011
angles (deg): 90.00 90.00 90.00
Element x y z (fractional)
Cs1 0.0000 0.0000 0.5000
Cs2 0.0000 0.5000 0.0000
Ir1 0.5000 0.5000 0.5000
O1 0.0000 0.0000 0.0000
Ru1 0.5000 0.0000 0.0000

---

DFT (GGA-PBEsol) results for ScTeOs2 after structural relaxation.

Values from the calculation:
Electronic total energy, eV per atom: -8.080
Space group: Cmmm, No. 65
Magnetic moment, μB/f.u.: 0.0
Uncorrected formation energy, eV/atom: 0.56
Volume, Å³ per cell: 69

a b c (Å): 2.9026 2.9026 9.1088
angles (deg): 90.00 90.00 115.87
Element x y z (fractional)
Te1 0.5000 0.5000 0.0000
Os1 0.0000 0.0000 0.2652
Os2 0.0000 0.0000 0.7348
Sc1 0.5000 0.5000 0.5000

---

DFT (GGA-PBEsol) results for ZnTe3Os after structural relaxation.

Values from the calculation:
Electronic total energy, eV per atom: -3.346
Space group: Pm-3m, No. 221
Magnetic moment, μB/f.u.: 0.0
Uncorrected formation energy, eV/atom: 1.53
Volume, Å³ per cell: 123

a b c (Å): 4.9675 4.9675 4.9675
angles (deg): 90.00 90.00 90.00
Element x y z (fractional)
Os1 0.5000 0.5000 0.5000
Te1 0.5000 0.0000 0.0000
Te2 0.0000 0.5000 0.0000
Te3 0.0000 0.0000 0.5000
Zn1 0.0000 0.0000 0.0000

---

DFT (GGA-PBEsol) results for Li2Tl2In after structural relaxation.

Values from the calculation:
Formation enthalpy at 0 K, meV per atom: -174
Electronic total energy, eV per atom: -2.609
Space group: P4/mbm, No. 127
Magnetic moment, μB/f.u.: 0.0
Volume, Å³ per cell: 219

a b c (Å): 3.3288 8.1026 8.1026
angles (deg): 90.00 90.00 90.00
Element x y z (fractional)
Tl1 0.0000 0.3606 0.8606
Tl2 0.0000 0.6394 0.1394
Tl3 0.0000 0.8606 0.6394
Tl4 0.0000 0.1394 0.3606
Li1 0.5000 0.6609 0.8391
Li2 0.5000 0.1609 0.6609
Li3 0.5000 0.8391 0.3391
Li4 0.5000 0.3391 0.1609
In1 0.0000 0.5000 0.5000
In2 0.0000 0.0000 0.0000